Ta4Sb3: relaxed, PBE.

As for the formation energy without anion corrections: 0.79 eV/atom. The calculation puts the raw total energy at -7.75 eV/atom.

The space group is P6/mmm (No. 191) and the conventional cell measures 5.7149, 5.7149 and 5.0891 Å, with angles of 90.00, 90.00 and 120.00 degrees. The distinct sites, in fractional coordinates, are Ta at (0.0000, 0.0000, 0.2478), Ta at (0.3333, 0.6667, 0.0000) and Sb at (0.0000, 0.5000, 0.5000).

=====

CeSn3Pb: relaxed, PBE.

The calculation puts the raw total energy at -4.28 eV/atom. Its energy relative to the elements is 0.050 eV per atom.

The space group is P-1 (No. 2) and the conventional cell measures 6.312, 6.332 and 6.356 Å, with angles of 115.64, 95.71 and 117.41 degrees. The distinct sites, in fractional coordinates, are Ce at (0.000, 0.000, 0.000), Sn at (0.000, 0.000, 0.500), Sn at (0.500, 0.500, 0.000), Sn at (0.500, 0.500, 0.500) and Pb at (0.000, 0.500, 0.500).

=====

Tb2PmSe: relaxed, PBE.

The value obtained for the excess energy over the best structure of this formula in the dataset is 0.0 meV per atom. As for the formation energy without anion corrections: -0.81 eV/atom. The calculation puts the raw total energy at -5.19 eV/atom.

The space group is R3m (No. 160, hexagonal axes) and the conventional cell measures 3.8232, 3.8232 and 28.6512 Å, with angles of 90.00, 90.00 and 120.00 degrees. The distinct sites, in fractional coordinates, are Tb at (0.0000, 0.0000, 0.0000), Tb at (0.0000, 0.0000, 0.2043), Pm at (0.0000, 0.0000, 0.4350) and Se at (0.0000, 0.0000, 0.6021).

=====

KPuPdSe3: relaxed, PBE.

As for the formation energy without anion corrections: -1.07 eV/atom. The calculation puts the raw total energy at -6.25 eV/atom.

The space group is P2_1/m (No. 11) and the conventional cell measures 8.850, 4.222 and 9.626 Å, with angles of 90.00, 107.22 and 90.00 degrees. The distinct sites, in fractional coordinates, are K at (0.199, 0.250, 0.242), Pu at (0.320, 0.750, 0.847), Pd at (0.086, 0.250, 0.587), Se at (0.117, 0.250, 0.868), Se at (0.216, 0.750, 0.541) and Se at (0.459, 0.750, 0.157).

=====

FeTc3Pd: relaxed, PBE.

The value obtained for the excess energy over the best structure of this formula in the dataset is 0.0 meV per atom. The calculation puts the raw total energy at -7.75 eV/atom. Its energy relative to the elements is 1.205 eV per atom.

The space group is Pm-3m (No. 221) and the conventional cell measures 4.366, 4.366 and 4.366 Å, with angles of 90.00, 90.00 and 90.00 degrees. The distinct sites, in fractional coordinates, are Fe at (0.000, 0.000, 0.000), Tc at (0.000, 0.000, 0.500) and Pd at (0.500, 0.500, 0.500).

=====

BaMoCl: relaxed, PBE.

The value obtained for the excess energy over the best structure of this formula in the dataset is 1049.6 meV per atom. As for the formation energy without anion corrections: 0.42 eV/atom. The calculation puts the raw total energy at -4.45 eV/atom.

The space group is I4mm (No. 107) and the conventional cell measures 3.962, 3.962 and 14.610 Å, with angles of 90.00, 90.00 and 90.00 degrees. The distinct sites, in fractional coordinates, are Ba at (0.000, 0.000, 0.000), Mo at (0.000, 0.000, 0.665) and Cl at (0.000, 0.000, 0.401).

=====

Ho4ZrN4: relaxed, PBE.

The value obtained for the excess energy over the best structure of this formula in the dataset is 0.0 meV per atom. As for the formation energy without anion corrections: -1.52 eV/atom. The calculation puts the raw total energy at -8.20 eV/atom.

The space group is I4/m (No. 87) and the conventional cell measures 7.609, 7.609 and 4.891 Å, with angles of 90.00, 90.00 and 90.00 degrees. The distinct sites, in fractional coordinates, are Ho at (0.108, 0.309, 0.000), Zr at (0.000, 0.000, 0.500) and N at (0.094, 0.289, 0.500).

=====

K2ErBe2Se4: relaxed, PBE.

As for the formation energy without anion corrections: -1.10 eV/atom. The calculation puts the raw total energy at -4.22 eV/atom.

The space group is C2/m (No. 12) and the conventional cell measures 17.473, 3.831 and 7.851 Å, with angles of 90.00, 116.18 and 90.00 degrees. The distinct sites, in fractional coordinates, are K at (0.134, 0.000, 0.178), Er at (0.000, 0.000, 0.500), Be at (0.137, 0.500, 0.728), Se at (0.029, 0.500, 0.792) and Se at (0.186, 0.000, 0.676).

=====

Tb4Pm2PrTh: relaxed, PBE.

The calculation puts the raw total energy at -5.02 eV/atom. Its energy relative to the elements is 0.006 eV per atom.

The space group is P2/m (No. 10) and the conventional cell measures 6.287, 3.619 and 11.607 Å, with angles of 90.00, 90.07 and 90.00 degrees. The distinct sites, in fractional coordinates, are Tb at (0.164, 0.000, 0.255), Tb at (0.328, 0.500, 0.748), Pm at (0.000, 0.500, 0.000), Pm at (0.500, 0.000, 0.500), Pr at (0.500, 0.000, 0.000) and Th at (0.000, 0.500, 0.500).

=====

CdH3Pd3: relaxed, PBE.

The value obtained for the excess energy over the best structure of this formula in the dataset is 0.0 meV per atom. The calculation puts the raw total energy at -3.96 eV/atom.

The space group is Pm-3n (No. 223) and the conventional cell measures 5.360, 5.360 and 5.360 Å, with angles of 90.00, 90.00 and 90.00 degrees. The distinct sites, in fractional coordinates, are Cd at (0.000, 0.000, 0.000), H at (0.000, 0.250, 0.500) and Pd at (0.000, 0.500, 0.250).

=====

TcAg: relaxed, PBE.

The value obtained for the excess energy over the best structure of this formula in the dataset is 408.6 meV per atom. The calculation puts the raw total energy at -6.03 eV/atom. Its energy relative to the elements is 0.581 eV per atom.

The space group is P4/mmm (No. 123) and the conventional cell measures 2.641, 2.641 and 4.577 Å, with angles of 90.00, 90.00 and 90.00 degrees. The distinct sites, in fractional coordinates, are Tc at (0.000, 0.000, 0.000) and Ag at (0.500, 0.500, 0.500).